1.
5
Lattice="4.2183 0.0000 0.0000 0.0000 4.2183 0.0000 0.0000 0.0000 4.4989" Properties=species:S:1:pos:R:3 comment="ZrTi2AuC, optimized geometry, DFT PBE" delta_e_f_ev_per_atom=-0.582 sg="No. 123" magnetic_moment_mub_per_cell=0.0 pbc="T T T"
Zr 0.0000 0.0000 0.0000
Ti 0.0000 2.1091 2.2495
Ti 2.1091 0.0000 2.2495
Au 2.1091 2.1091 0.0000
C 0.0000 0.0000 2.2495

---

2.
14
Lattice="3.4801 -7.3760 0.0000 3.4801 7.3760 0.0000 0.0000 0.0000 6.9652" Properties=species:S:1:pos:R:3 comment="Y4TlGaC, optimized geometry, DFT PBE" delta_e_f_ev_per_atom=-0.401 sg="No. 63" magnetic_moment_mub_per_cell=0.0 pbc="T T T"
Y 1.7401 3.6880 0.0000
Y 1.7401 3.6880 3.4826
Y 3.4801 6.2096 5.2239
Y 3.4801 1.2752 5.2239
Y 1.7401 -3.6880 0.0000
Y 1.7401 -3.6880 3.4826
Y 3.4801 -1.2752 1.7413
Y 3.4801 -6.2096 1.7413
Tl 3.4801 1.7404 1.7413
Tl 3.4801 -1.7404 5.2239
Ga 3.4801 5.5217 1.7413
Ga 3.4801 -5.5217 5.2239
C 3.4801 3.7207 5.2239
C 3.4801 -3.7207 1.7413

---

3.
21
Lattice="4.6970 0.0000 0.0000 0.0000 5.4311 0.0000 -0.0226 0.0000 7.2670" Properties=species:S:1:pos:R:3 comment="Li5B8C8, optimized geometry, DFT PBE" delta_e_f_ev_per_atom=-0.139 sg="No. 3" magnetic_moment_mub_per_cell=0.0 pbc="T T T"
Li 0.0000 0.0000 0.0000
Li -0.0113 0.1886 3.6335
Li 0.0000 2.8082 0.0000
Li 2.3485 1.3985 0.0000
Li 2.3372 3.9995 3.6335
B 0.7882 1.4155 1.7992
B 0.7867 4.1162 1.8234
B 1.5393 2.7618 5.4823
B 1.5506 0.0453 5.4777
B 3.1238 0.0453 1.7893
B 3.1351 2.7618 1.7847
B 3.8863 1.4155 5.4678
B 3.8878 4.1162 5.4436
C 0.7758 1.4018 5.5396
C 0.7755 4.1233 5.4474
C 1.5400 0.0495 1.8178
C 1.5551 2.7645 1.7789
C 3.1193 2.7645 5.4881
C 3.1344 0.0495 5.4491
C 3.8986 1.4018 1.7274
C 3.8989 4.1233 1.8196

---

4.
12
Lattice="5.2664 0.0000 0.0000 -2.6332 4.5608 0.0000 0.0000 0.0000 7.1881" Properties=species:S:1:pos:R:3 comment="SrHfP2O8, optimized geometry, DFT PBE" sg="No. 147" magnetic_moment_mub_per_cell=0.0 raw_formation_energy_ev_per_atom=-2.847 pbc="T T T"
Sr 0.0000 0.0000 0.0000
Hf 0.0000 0.0000 3.5940
P 0.0000 3.0405 5.4577
P 2.6332 1.5203 1.7304
O -0.0545 1.5885 4.8970
O -1.2303 3.8138 4.8970
O 0.0000 3.0405 6.9698
O 1.3484 0.8414 2.2911
O 1.2848 3.7194 4.8970
O 2.6332 1.5203 0.2183
O 3.8635 0.7471 2.2911
O 2.6876 2.9724 2.2911

---

5.
12
Lattice="3.6300 -6.6803 0.0000 3.6300 6.6803 0.0000 -2.4256 0.0000 7.9495" Properties=species:S:1:pos:R:3 comment="La6Ni2AsI3, optimized geometry, DFT PBE" sg="No. 12" magnetic_moment_mub_per_cell=0.0 raw_formation_energy_ev_per_atom=-0.929 pbc="T T T"
La -0.2153 2.2888 6.4637
La 1.1342 0.0000 1.5756
La -0.2153 -2.2888 6.4637
La 5.0498 2.2888 1.4858
La 3.7003 0.0000 6.3739
La 5.0498 -2.2888 1.4858
Ni 3.6300 4.4076 0.0000
Ni 3.6300 -4.4076 0.0000
As 3.6300 0.0000 0.0000
I -1.2128 0.0000 3.9748
I 2.4173 2.1974 3.9748
I 2.4173 -2.1974 3.9748

---

6.
3
Lattice="5.5336 0.0000 0.0000 -2.7668 4.7922 0.0000 0.0000 0.0000 3.1825" Properties=species:S:1:pos:R:3 comment="CeGdPu, optimized geometry, DFT PBE" delta_e_f_ev_per_atom=0.217 sg="No. 187" magnetic_moment_mub_per_cell=1.1 pbc="T T T"
Ce 0.0000 0.0000 0.0000
Gd 0.0000 3.1948 0.0000
Pu 2.7668 1.5974 1.5913

---

7.
8
Lattice="-2.2179 2.2179 9.7428 2.2179 -2.2179 9.7428 2.2179 2.2179 -9.7428" Properties=species:S:1:pos:R:3 comment="LiY2Mo, optimized geometry, DFT PBE" delta_e_f_ev_per_atom=0.922 sg="No. 122" magnetic_moment_mub_per_cell=0.0 pbc="T T T"
Li 0.0000 0.0000 0.0000
Li 0.0000 2.2179 4.8714
Y 1.1090 -1.0651 7.3071
Y 1.1528 1.1090 2.4357
Y 1.1090 3.2830 -2.4357
Y 1.0651 1.1090 12.1785
Mo 2.2179 0.0000 4.8714
Mo 0.0000 0.0000 9.7428

---

8.
3
Lattice="3.5399 0.0000 0.0000 -0.0004 5.0344 0.0000 -0.0089 -0.0170 5.2507" Properties=species:S:1:pos:R:3 comment="TmTlHg, optimized geometry, DFT PBE" delta_e_f_ev_per_atom=-0.146 sg="No. 2" magnetic_moment_mub_per_cell=0.0 pbc="T T T"
Tm 0.0000 0.0000 0.0000
Tl 1.7655 -0.0085 2.6253
Hg 1.7698 2.5172 0.0000

---

9.
4
Lattice="-2.2775 2.2775 3.2069 2.2775 -2.2775 3.2069 2.2775 2.2775 -3.2069" Properties=species:S:1:pos:R:3 comment="KRu2Rh, optimized geometry, DFT PBE" delta_e_f_ev_per_atom=1.254 sg="No. 119" magnetic_moment_mub_per_cell=1.2 pbc="T T T"
K 0.0000 0.0000 0.0000
Ru 2.2775 0.0000 1.6035
Ru 0.0000 0.0000 3.2069
Rh 0.0000 2.2775 1.6035

---

10.
26
Lattice="11.7423 0.0000 0.0000 0.0000 20.8343 0.0000 0.0000 0.0000 3.6354" Properties=species:S:1:pos:R:3 comment="La5Y6Tm2, optimized geometry, DFT PBE" delta_e_f_ev_per_atom=0.096 sg="No. 55" magnetic_moment_mub_per_cell=0.0 pbc="T T T"
La 0.0000 0.0000 0.0000
La 0.9340 5.6516 0.0000
La 2.3513 11.4600 0.0000
La 3.5199 1.0429 0.0000
La 4.9372 16.0688 0.0000
La 5.8712 10.4172 0.0000
La 6.8052 4.7655 0.0000
La 8.2224 19.7915 0.0000
La 9.3911 9.3743 0.0000
La 10.8083 15.1827 0.0000
Y 0.7320 8.7148 1.8177
Y 0.9383 2.7380 1.8177
Y 2.0755 17.9032 0.0000
Y 3.7957 7.4860 0.0000
Y 4.9329 13.1552 1.8177
Y 5.1392 19.1320 1.8177
Y 6.6032 1.7023 1.8177
Y 6.8094 7.6791 1.8177
Y 7.9466 13.3483 0.0000
Y 9.6669 2.9312 0.0000
Y 10.8041 18.0963 1.8177
Y 11.0104 12.1195 1.8177
Tm 2.0326 14.7975 1.8177
Tm 3.8386 4.3804 1.8177
Tm 7.9038 16.4539 1.8177
Tm 9.7097 6.0368 1.8177

---

11.
4
Lattice="4.0668 0.0000 0.0000 0.0000 4.0798 0.0000 0.0000 0.0000 5.1509" Properties=species:S:1:pos:R:3 comment="TeAsAu2, optimized geometry, DFT PBE" sg="No. 47" magnetic_moment_mub_per_cell=0.0 raw_formation_energy_ev_per_atom=0.307 pbc="T T T"
Te 0.0000 0.0000 0.0000
As 2.0334 2.0399 0.0000
Au 0.0000 2.0399 2.5755
Au 2.0334 0.0000 2.5755

---

12.
6
Lattice="3.6829 0.0000 0.0000 0.0000 3.6829 0.0000 -0.0269 0.0000 12.6625" Properties=species:S:1:pos:R:3 comment="ScSnI, optimized geometry, DFT PBE" sg="No. 11" magnetic_moment_mub_per_cell=0.0 raw_formation_energy_ev_per_atom=-0.605 pbc="T T T"
Sc 0.9068 0.9207 3.6876
Sc 2.7492 2.7622 8.9750
Sn 0.9073 0.9207 7.2061
Sn 2.7487 2.7622 5.4564
I 0.9078 0.9207 10.7619
I 2.7482 2.7622 1.9006